No. 1
First-principles (PBE-GGA) data for K2ZrSb2O6 after structural relaxation, as listed in Alexandria.

```
K2ZrSb2O6
1.0
5.150 -2.971 0.000
5.150 2.971 0.000
-0.576 0.000 7.311
K Zr Sb O
2 1 2 6
Direct
0.176 0.176 0.161
0.824 0.824 0.839
0.500 0.500 0.000
0.150 0.150 0.698
0.850 0.850 0.302
0.170 0.680 0.165
0.320 0.320 0.838
0.320 0.830 0.835
0.680 0.170 0.165
0.680 0.680 0.162
0.830 0.320 0.835
```

Output
formation energy (no corrections) = -46.12 kcal/mol of atoms
DFT total energy = -6.4306 eV per atom
N(E_F) = 0.0 states/eV/f.u.
total moment = 0.00 μB per cell


No. 2
First-principles (PBE-GGA) data for V2AgBr6 after structural relaxation, as listed in Alexandria.

```
V2AgBr6
1.0
6.625 0.000 0.000
-3.312 5.737 0.000
0.000 0.000 6.337
V Ag Br
2 1 6
Direct
0.333 0.667 0.000
0.667 0.333 0.000
0.000 0.000 0.500
0.000 0.359 0.232
0.000 0.641 0.768
0.359 0.000 0.232
0.359 0.359 0.768
0.641 0.000 0.768
0.641 0.641 0.232
```

Output
formation energy (no corrections) = -16.68 kcal/mol of atoms
energy relative to the lowest polymorph listed for this composition = 0.0000 eV per atom
DFT total energy = -4.1817 eV per atom
N(E_F) = 10.3 states/eV/f.u.
total moment = 5.00 μB per cell


No. 3
First-principles (PBE-GGA) data for NaPr2Lu after structural relaxation, as listed in Alexandria.

```
NaPr2Lu
1.0
3.544 0.000 0.000
0.000 3.544 0.000
0.000 0.000 10.981
Na Pr Lu
1 2 1
Direct
0.000 0.000 0.000
0.500 0.500 0.268
0.500 0.500 0.732
0.000 0.000 0.500
```

Output
energy relative to the lowest polymorph listed for this composition = 0.0000 eV per atom
DFT total energy = -3.7486 eV per atom
N(E_F) = 5.6 states/eV/f.u.
total moment = 0.00 μB per cell